1.
Material: Pm3Mg2Rh3
Method: DFT, PBE
State: relaxed

It has space group P6_3/mcm (No. 193), with a = 8.3230 Å, b = 8.3230 Å, c = 5.8740 Å, α = 90.00°, β = 90.00° and γ = 120.00°. Symmetry generates all atoms from Pm at (0.0000, 0.2691, 0.2500), Mg at (0.3333, 0.6667, 0.0000) and Rh at (0.0000, 0.3939, 0.7500).

2.
Material: PmMg2Rh
Method: DFT, PBE
State: relaxed

It has space group Cmcm (No. 63), with a = 4.148 Å, b = 10.243 Å, c = 8.409 Å, α = 90.00°, β = 90.00° and γ = 90.00°. Symmetry generates all atoms from Pm at (0.000, 0.064, 0.250), Mg at (0.000, 0.347, 0.056) and Rh at (0.000, 0.230, 0.750).

| no. | energy relative to the elements (eV/atom) | ΔE to the lowest computed polymorph (kcal/mol of atoms) | theoretical density (g/cm³) |
| --- | --- | --- | --- |
| 1 | -0.59 | 0.000 | 7.5 |
| 2 | -0.47 | 0.000 | 5.5 |